Entry 1:
Below is a relaxed ReTePtN2 crystal, with properties calculated at the PBE level.

- Calculated total energy: -7.10 eV per atom
- Mass density: 10.2 Mg/m³
- Size of the total moment: 0.000 Bohr magnetons per cell
- Formation energy (no corrections): 560 meV/atom
- Symmetry: P4/mmm (123)
- Excess energy over the best structure of this formula in the dataset: 0 meV/atom

extended XYZ file:
```
5
Lattice="3.820 0.000 0.000 0.000 3.820 0.000 0.000 0.000 5.977" Properties=species:S:1:pos:R:3 pbc="T T T"
Pt 1.910 1.910 2.988
Te 0.000 0.000 2.988
N 0.000 1.910 0.000
N 1.910 0.000 0.000
Re 0.000 0.000 0.000
```

Entry 2:
Below is a relaxed Tb7Pm4Y crystal, with properties calculated at the PBE level.

- Calculated total energy: -4.74 eV per atom
- Mass density: 7.4 Mg/m³
- Size of the total moment: 0.000 Bohr magnetons per cell
- Energy of formation: 0.08 eV/atom
- Symmetry: P-1 (2)
- Excess energy over the best structure of this formula in the dataset: 0 meV/atom

extended XYZ file:
```
12
Lattice="-5.384 0.986 4.144 -6.593 -5.289 2.632 4.832 -4.520 6.276" Properties=species:S:1:pos:R:3 pbc="T T T"
Pm -1.320 -4.724 7.298
Pm -6.370 -6.823 9.759
Pm -5.824 -4.099 5.754
Pm -0.775 -2.000 3.293
Tb -2.851 -5.224 4.122
Tb -4.390 -2.550 2.703
Tb -2.755 -6.272 10.349
Tb -3.959 -6.779 7.219
Tb -4.294 -3.599 8.930
Tb -3.186 -2.044 5.833
Tb -2.692 0.493 2.072
Y 0.000 0.000 0.000
```

Entry 3:
Below is a relaxed CsHg3Pb2 crystal, with properties calculated at the PBE level.

- Calculated total energy: -1.63 eV per atom
- Mass density: 8.8 Mg/m³
- Size of the total moment: 0.000 Bohr magnetons per cell
- Energy of formation: -0.10 eV/atom
- Symmetry: Cmcm (63)

extended XYZ file:
```
12
Lattice="-2.945 0.911 -6.037 7.206 1.288 -3.321 -0.518 -7.965 -0.949" Properties=species:S:1:pos:R:3 pbc="T T T"
Hg -1.682 -2.754 -5.303
Hg -1.870 0.345 -4.744
Hg 5.612 -6.110 -5.563
Hg 0.969 0.423 -6.117
Hg 5.425 -3.012 -5.004
Hg 2.774 -6.188 -4.190
Pb 4.076 -0.241 -5.831
Pb 1.139 -5.980 -1.458
Pb 5.549 -0.697 -2.812
Pb -0.333 -5.525 -4.476
Cs 1.421 -1.926 -2.886
Cs 2.322 -3.840 -7.421
```

Entry 4:
Below is a relaxed PrNd2YSc crystal, with properties calculated at the PBE level.

- Calculated total energy: -5.24 eV per atom
- Mass density: 5.6 Mg/m³
- Size of the total moment: 0.000 Bohr magnetons per cell
- Energy of formation: 0.19 eV/atom
- Symmetry: Pmma (51)

extended XYZ file:
```
10
Lattice="6.716 0.000 0.000 0.000 7.685 1.447 0.000 -1.168 6.202" Properties=species:S:1:pos:R:3 pbc="T T T"
Sc 0.000 -0.584 3.101
Sc 0.000 0.000 0.000
Y 3.990 -0.292 1.550
Y 2.726 -0.876 4.651
Nd 1.442 5.140 2.574
Nd 5.274 4.556 5.674
Nd 1.442 1.960 1.975
Nd 5.274 1.376 5.075
Pr 4.641 3.550 2.274
Pr 2.075 2.966 5.375
```

Entry 5:
Below is a relaxed Na2BiAu crystal, with properties calculated at the PBE level.

- Calculated total energy: -2.71 eV per atom
- Mass density: 7.7 Mg/m³
- Size of the total moment: 0.000 Bohr magnetons per cell
- Energy of formation: -0.27 eV/atom
- Symmetry: P4/mmm (123)

extended XYZ file:
```
4
Lattice="-0.084 -0.179 -4.884 -4.410 -0.762 0.104 -0.765 4.408 -0.149" Properties=species:S:1:pos:R:3 pbc="T T T"
Bi -0.042 -0.090 -2.442
Au -2.630 1.734 -2.464
Na -2.205 -0.381 0.052
Na -0.382 2.204 -0.074
```

Entry 6:
Below is a relaxed ZnPS2Cl crystal, with properties calculated at the PBE level.

- Calculated total energy: -2.71 eV per atom
- Mass density: 3.2 Mg/m³
- Size of the total moment: 0.048 Bohr magnetons per cell
- Formation energy (no corrections): 649 meV/atom
- Symmetry: P4/mmm (123)
- Excess energy over the best structure of this formula in the dataset: 343 meV/atom

extended XYZ file:
```
5
Lattice="-3.241 0.568 3.384 -3.429 -0.375 -3.221 -0.115 -4.511 0.647" Properties=species:S:1:pos:R:3 pbc="T T T"
Cl -0.057 -2.255 0.323
S -1.620 0.284 1.692
S -1.715 -0.187 -1.611
P -3.392 -2.159 0.405
Zn 0.000 0.000 0.000
```

Entry 7:
Below is a relaxed BaMgGa2Tc crystal, with properties calculated at the PBE level.

- Calculated total energy: -4.21 eV per atom
- Mass density: 5.3 Mg/m³
- Size of the total moment: 0.000 Bohr magnetons per cell
- Energy of formation: -0.22 eV/atom
- Symmetry: P4/mmm (123)

extended XYZ file:
```
5
Lattice="-1.180 -3.623 -3.167 -0.516 -3.146 3.792 -4.953 1.277 0.386" Properties=species:S:1:pos:R:3 pbc="T T T"
Ba -3.325 -2.746 0.506
Tc 0.000 0.000 0.000
Mg -2.477 0.638 0.193
Ga -0.590 -1.812 -1.583
Ga -0.258 -1.573 1.896
```

Entry 8:
Below is a relaxed CsRb2Hg6 crystal, with properties calculated at the PBE level.

- Calculated total energy: -0.77 eV per atom
- Mass density: 6.8 Mg/m³
- Size of the total moment: 0.000 Bohr magnetons per cell
- Energy of formation: -0.26 eV/atom
- Symmetry: P6/mmm (191)
- Excess energy over the best structure of this formula in the dataset: 0 meV/atom

extended XYZ file:
```
9
Lattice="-2.059 -4.227 -0.968 6.076 -4.275 5.747 -8.167 3.211 3.348" Properties=species:S:1:pos:R:3 pbc="T T T"
Rb -3.419 0.716 4.147
Rb 1.328 -1.780 4.947
Hg 1.008 -3.548 1.444
Hg -6.457 0.020 1.741
Hg -5.158 -1.744 6.683
Hg -1.731 -2.471 2.566
Hg -2.419 -2.821 5.560
Hg -3.769 -1.037 0.639
Cs -8.167 3.211 3.348
```

Entry 9:
Below is a relaxed SrScB crystal, with properties calculated at the PBE level.

- Calculated total energy: -4.71 eV per atom
- Mass density: 3.8 Mg/m³
- Size of the total moment: 0.000 Bohr magnetons per cell
- Energy of formation: 0.19 eV/atom
- Symmetry: Pnma (62)
- Excess energy over the best structure of this formula in the dataset: 320 meV/atom

extended XYZ file:
```
12
Lattice="7.630 0.000 0.000 0.000 4.608 0.000 0.000 0.000 7.212" Properties=species:S:1:pos:R:3 pbc="T T T"
Sc 2.760 3.456 6.543
Sc 6.575 3.456 4.276
Sc 4.869 1.152 0.670
Sc 1.054 1.152 2.937
B 5.198 3.456 6.454
B 6.246 1.152 2.848
B 2.431 1.152 0.758
B 1.383 3.456 4.364
Sr 7.304 3.456 1.171
Sr 4.141 1.152 4.777
Sr 3.489 3.456 2.435
Sr 0.326 1.152 6.041
```

Entry 10:
Below is a relaxed La5TbY crystal, with properties calculated at the PBE level.

- Calculated total energy: -4.97 eV per atom
- Mass density: 6.2 Mg/m³
- Size of the total moment: 0.000 Bohr magnetons per cell
- Energy of formation: 0.13 eV/atom
- Symmetry: C2/c (15)
- Excess energy over the best structure of this formula in the dataset: 0 meV/atom

extended XYZ file:
```
14
Lattice="8.628 2.041 1.602 4.673 7.534 1.602 6.680 4.809 10.695" Properties=species:S:1:pos:R:3 pbc="T T T"
Tb 0.000 0.000 0.000
Tb 3.340 2.405 5.347
La 11.582 8.369 6.491
La 9.403 6.783 10.514
La 7.294 7.415 4.275
La 14.951 10.733 11.839
La 13.905 10.024 8.732
La 8.399 6.016 7.407
La 5.029 3.652 2.059
La 12.686 6.970 9.623
La 10.578 7.602 3.384
La 6.076 4.361 5.166
Y 9.360 4.547 4.275
Y 10.621 9.838 9.623
```

Entry 11:
Below is a relaxed Ca2TaOs crystal, with properties calculated at the PBE level.

- Calculated total energy: -6.00 eV per atom
- Mass density: 8.9 Mg/m³
- Size of the total moment: 0.000 Bohr magnetons per cell
- Energy of formation: 0.77 eV/atom
- Symmetry: P4/mmm (123)
- Excess energy over the best structure of this formula in the dataset: 624 meV/atom

extended XYZ file:
```
4
Lattice="-0.297 -2.655 -1.121 2.756 0.069 -0.891 2.933 -4.025 8.756" Properties=species:S:1:pos:R:3 pbc="T T T"
Ca 1.396 -1.916 4.167
Ca 0.071 -0.097 0.211
Os 1.963 -2.300 1.183
Ta 3.429 -4.312 5.561
```

Entry 12:
Below is a relaxed BaCa2Br crystal, with properties calculated at the PBE level.

- Calculated total energy: -2.40 eV per atom
- Mass density: 2.9 Mg/m³
- Size of the total moment: 0.001 Bohr magnetons per cell
- Formation energy (no corrections): -496 meV/atom
- Symmetry: P2/m (10)

extended XYZ file:
```
4
Lattice="7.006 0.000 0.000 0.000 4.088 0.003 0.000 0.097 5.934" Properties=species:S:1:pos:R:3 pbc="T T T"
Ca 0.000 3.977 0.011
Ca 0.000 2.203 2.961
Ba 3.503 1.046 1.484
Br 3.503 3.138 4.453
```